Record 1
First-principles (meta-GGA SCAN) data for a crystal of KZn2P2O8 relaxed with PBEsol, as listed in Alexandria.

Summary:
Space-group type: P-1 (2)
ΔE_f (raw), eV/atom: -2.121
N(E_F), states/eV per cell: 4.67
Spin magnetization, μB per cell: 2.14

Cell and atoms, written as extended XYZ:
```
26
Lattice="-2.3292 1.2065 4.4107 7.6988 -4.1235 1.9684 4.6882 7.9783 -2.0391" Properties=species:S:1:pos:R:3 pbc="T T T"
K 7.9234 2.8610 1.9777
K 2.1344 2.2002 2.3623
Zn 5.6865 -1.9080 4.5639
Zn 4.3713 6.9692 -0.2238
Zn 5.0112 -0.2533 1.7062
Zn 5.0466 5.3146 2.6339
P 4.8248 3.8421 -0.0438
P 5.2330 1.2191 4.3839
P -0.0332 0.5014 4.3656
P 10.0910 4.5598 -0.0255
O 5.5909 -1.9429 2.5493
O 4.4669 7.0041 1.7908
O 3.4238 4.4867 3.2678
O 6.6340 0.5745 1.0722
O 1.4390 0.7290 4.7060
O 8.6188 4.3323 -0.3660
O 3.7612 2.7842 0.2737
O 6.2966 2.2770 4.0664
O 1.3910 -0.4342 1.1649
O 8.6668 5.4955 3.1752
O 4.3785 0.8669 3.1394
O 5.6793 4.1944 1.2006
O 5.9857 -0.0276 4.9017
O 4.0720 5.0888 -0.5616
O -0.3752 1.3963 3.1536
O 10.4330 3.6650 1.1865
```

---

Record 2
First-principles (meta-GGA SCAN) data for a crystal of Fe2HgCl relaxed with PBEsol, as listed in Alexandria.

Summary:
E above lowest polymorph, meV/atom: 0.0
Space-group type: R-3m (166)
ΔE_f (raw), eV/atom: 0.235
N(E_F), states/eV per cell: 2.52
Spin magnetization, μB per cell: 5.94

Cell and atoms, written as extended XYZ:
```
4
Lattice="2.9534 0.0000 0.0000 1.4767 2.5577 0.0000 1.4767 0.8526 7.9975" Properties=species:S:1:pos:R:3 pbc="T T T"
Cl 0.0000 0.0000 0.0000
Hg 2.9534 1.7051 3.9988
Fe 1.4767 0.8526 1.8161
Fe 4.4300 2.5577 6.1814
```

---

Record 3
First-principles (meta-GGA SCAN) data for a crystal of MnCu2Pt relaxed with PBEsol, as listed in Alexandria.

Summary:
Space-group type: I4/mmm (139)
ΔE_f, eV/atom: -0.392
N(E_F), states/eV per cell: 1.47
Spin magnetization, μB per cell: 4.28

Cell and atoms, written as extended XYZ:
```
4
Lattice="3.6954 0.0000 0.0000 0.0000 3.6954 0.0000 -1.8477 -1.8477 3.7453" Properties=species:S:1:pos:R:3 pbc="T T T"
Mn 1.8477 1.8477 0.0000
Pt 0.0000 0.0000 0.0000
Cu 1.8477 0.0000 1.8726
Cu 0.0000 1.8477 1.8726
```

---

Record 4
First-principles (meta-GGA SCAN) data for a crystal of BeAl2GeF relaxed with PBEsol, as listed in Alexandria.

Summary:
Space-group type: P4/mmm (123)
ΔE_f (raw), eV/atom: -0.214
N(E_F), states/eV per cell: 1.76
Spin magnetization, μB per cell: 0.00

Cell and atoms, written as extended XYZ:
```
5
Lattice="3.2042 0.0000 0.0000 0.0000 4.9213 0.0000 0.0000 0.0000 4.9213" Properties=species:S:1:pos:R:3 pbc="T T T"
Be 0.0000 0.0000 0.0000
Ge 1.6021 2.4607 2.4607
Al 0.0000 0.0000 2.4607
Al 0.0000 2.4607 0.0000
F 1.6021 0.0000 0.0000
```

---

Record 5
First-principles (meta-GGA SCAN) data for a crystal of Be2TlNi relaxed with PBEsol, as listed in Alexandria.

Summary:
E above lowest polymorph, meV/atom: 0.0
Space-group type: P4mm (99)
ΔE_f, eV/atom: 0.226
N(E_F), states/eV per cell: 1.01
Spin magnetization, μB per cell: 0.00

Cell and atoms, written as extended XYZ:
```
4
Lattice="-0.9317 2.6606 0.8498 -1.3972 -1.2197 2.2867 4.7544 0.6298 3.2410" Properties=species:S:1:pos:R:3 pbc="T T T"
Ni 2.0136 0.2667 1.3726
Tl 2.3985 1.1924 3.9971
Be 0.3073 0.0407 0.2095
Be 0.0832 0.8857 2.4188
```

---

Record 6
First-principles (meta-GGA SCAN) data for a crystal of BaBePt relaxed with PBEsol, as listed in Alexandria.

Summary:
E above lowest polymorph, meV/atom: 1390.7
Space-group type: F-43m (216)
ΔE_f, eV/atom: 0.783
N(E_F), states/eV per cell: 0.21
Spin magnetization, μB per cell: 0.00

Cell and atoms, written as extended XYZ:
```
3
Lattice="4.9994 0.0000 0.0000 2.4997 4.3296 0.0000 2.4997 1.4432 4.0820" Properties=species:S:1:pos:R:3 pbc="T T T"
Be 0.0000 0.0000 0.0000
Ba 2.4997 1.4432 1.0205
Pt 4.9994 2.8864 2.0410
```

---

> N(E_F) of number 5 (Be2TlNi)?

1.01 states/eV per cell